An optimized crystal structure of NaFe2Co3O6. Source: the Alexandria database, functional PBE with a Hubbard U.

Cell and atoms, written as POSCAR:
```
NaFe2Co3O6
1.0
3.032 0.000 0.000
0.000 6.105 0.174
-1.516 -1.813 6.485
Na Fe Co O
1 2 3 6
Direct
0.500 0.000 0.000 Na
0.836 0.668 0.672 Fe
0.164 0.332 0.328 Fe
0.500 0.500 0.000 Co
0.836 0.164 0.671 Co
0.164 0.836 0.329 Co
0.323 0.904 0.647 O
0.652 0.573 0.305 O
0.677 0.096 0.353 O
0.996 0.290 0.991 O
0.004 0.710 0.009 O
0.348 0.427 0.695 O
```

DFT total energy in eV/atom: -5.98
Space-group type: No. 12